No. 1
## LiHfPt3 (PBE)

Data for LiHfPt3 after structural relaxation.

a = 4.2813 Å, b = 4.2813 Å, c = 4.2813 Å
α = 90.00°, β = 90.00°, γ = 90.00°
With the nearest neighbours (Å) after each atom.
Positions (direct):
Hf: 0.5000 0.5000 0.5000  12 Pt 3.03
Pt: 0.0000 0.5000 0.0000  2 Li 2.14
Pt: 0.0000 0.0000 0.5000  2 Li 2.14
Pt: 0.5000 0.0000 0.0000  2 Li 2.14
Li: 0.0000 0.0000 0.0000  6 Pt 2.14

Magnetization in μB per cell: 0.0
E_tot in eV per atom: -6.290

=====

No. 2
## Li2HfPt3 (PBE)

Data for Li2HfPt3 after structural relaxation.

a = 4.3125 Å, b = 6.7542 Å, c = 6.5488 Å
α = 90.00°, β = 90.00°, γ = 71.38°
With the nearest neighbours (Å) after each atom.
Positions (direct):
Li: 0.0000 0.0000 0.0000  8 Pt 2.71-2.80, 4 Hf 2.94
Li: 0.0000 0.0000 0.5000  8 Pt 2.62-2.64
Li: 0.3270 0.3460 0.5000  8 Pt 2.61-2.68
Li: 0.6730 0.6540 0.5000  8 Pt 2.61-2.68
Hf: 0.3444 0.3113 0.0000  8 Pt 2.68-2.85, 2 Li 2.94
Hf: 0.6556 0.6887 0.0000  8 Pt 2.68-2.85, 2 Li 2.94
Pt: 0.8347 0.3305 0.7418  5 Li 2.61-2.71, 3 Hf 2.74-2.85
Pt: 0.5000 0.0000 0.2739  6 Li 2.62-2.80, 2 Hf 2.68
Pt: 0.1653 0.6695 0.2582  5 Li 2.61-2.71, 3 Hf 2.74-2.85
Pt: 0.8347 0.3305 0.2582  5 Li 2.61-2.71, 3 Hf 2.74-2.85
Pt: 0.1653 0.6695 0.7418  5 Li 2.61-2.71, 3 Hf 2.74-2.85
Pt: 0.5000 0.0000 0.7261  6 Li 2.62-2.80, 2 Hf 2.68

Magnetization in μB per cell: 0.0
E_tot in eV per atom: -6.178

=====

No. 3
## Li2HfPt2 (PBE)

Data for Li2HfPt2 after structural relaxation.

a = 7.1184 Å, b = 7.1184 Å, c = 2.9003 Å
α = 90.00°, β = 90.00°, γ = 90.00°
With the nearest neighbours (Å) after each atom.
Positions (direct):
Hf: 0.0000 0.0000 0.0000  2 Hf 2.90, 4 Li 2.90, 8 Pt 2.96
Hf: 0.5000 0.5000 0.0000  2 Hf 2.90, 4 Li 2.90, 8 Pt 2.96
Pt: 0.1932 0.6932 0.5000  6 Li 2.49-2.65
Pt: 0.6932 0.8068 0.5000  6 Li 2.49-2.65
Pt: 0.8068 0.3068 0.5000  6 Li 2.49-2.65
Pt: 0.3068 0.1932 0.5000  6 Li 2.49-2.65
Li: 0.3941 0.8941 0.0000  1 Li 2.13
Li: 0.8941 0.6059 0.0000  1 Li 2.13
Li: 0.6059 0.1059 0.0000  1 Li 2.13
Li: 0.1059 0.3941 0.0000  1 Li 2.13

Magnetization in μB per cell: 0.0
E_tot in eV per atom: -5.836

=====

No. 4
## Li2HfPt2 (PBE)

Data for Li2HfPt2 after structural relaxation.

a = 7.3713 Å, b = 7.3713 Å, c = 2.8703 Å
α = 90.00°, β = 90.00°, γ = 90.00°
With the nearest neighbours (Å) after each atom.
Positions (direct):
Hf: 0.0000 0.0000 0.0000  4 Pt 2.72, 2 Hf 2.87
Hf: 0.5000 0.5000 0.0000  4 Pt 2.72, 2 Hf 2.87
Pt: 0.3239 0.8239 0.0000  6 Li 2.56-2.65, 2 Hf 2.72
Pt: 0.8239 0.6761 0.0000  6 Li 2.56-2.65, 2 Hf 2.72
Pt: 0.6761 0.1761 0.0000  6 Li 2.56-2.65, 2 Hf 2.72
Pt: 0.1761 0.3239 0.0000  6 Li 2.56-2.65, 2 Hf 2.72
Li: 0.1208 0.6208 0.5000  1 Li 2.52, 6 Pt 2.56-2.65
Li: 0.6208 0.8792 0.5000  1 Li 2.52, 6 Pt 2.56-2.65
Li: 0.8792 0.3792 0.5000  1 Li 2.52, 6 Pt 2.56-2.65
Li: 0.3792 0.1208 0.5000  1 Li 2.52, 6 Pt 2.56-2.65

Magnetization in μB per cell: 0.0
E_tot in eV per atom: -5.751

=====

No. 5
## LiHfPt3 (PBE)

Data for LiHfPt3 after structural relaxation.

a = 4.6845 Å, b = 6.2354 Å, c = 6.2354 Å
α = 119.82°, β = 90.00°, γ = 90.00°
With the nearest neighbours (Å) after each atom.
Positions (direct):
Li: 0.0000 0.0000 0.0000  2 Li 2.34, 6 Pt 2.35-2.36
Li: 0.5000 0.0000 0.0000  2 Li 2.34, 6 Pt 2.35-2.36
Hf: 0.2500 0.3334 0.6666  12 Pt 2.81-3.14
Hf: 0.7500 0.6666 0.3334  12 Pt 2.81-3.14
Pt: 0.2500 0.8109 0.1891  2 Li 2.35
Pt: 0.7500 0.1891 0.8109  2 Li 2.35
Pt: 0.2500 0.8104 0.6220  2 Li 2.36
Pt: 0.7500 0.1896 0.3780  2 Li 2.36
Pt: 0.2500 0.3780 0.1896  2 Li 2.36
Pt: 0.7500 0.6220 0.8104  2 Li 2.36

Magnetization in μB per cell: 0.0
E_tot in eV per atom: -6.576

=====

No. 6
## LiHf2Pt (PBE)

Data for LiHf2Pt after structural relaxation.

a = 3.4740 Å, b = 4.5394 Å, c = 4.5394 Å
α = 90.00°, β = 90.00°, γ = 90.00°
With the nearest neighbours (Å) after each atom.
Positions (direct):
Hf: 0.0000 0.0000 0.5000  4 Li 2.86, 4 Pt 2.86
Hf: 0.0000 0.5000 0.0000  4 Li 2.86, 4 Pt 2.86
Pt: 0.5000 0.0000 0.0000  8 Hf 2.86
Li: 0.5000 0.5000 0.5000  8 Hf 2.86

Magnetization in μB per cell: 0.0
E_tot in eV per atom: -7.439

=====

No. 7
## LiHf5Pt6 (PBE)

Data for LiHf5Pt6 after structural relaxation.

a = 4.7013 Å, b = 8.0739 Å, c = 8.0739 Å
α = 116.20°, β = 108.63°, γ = 108.63°
With the nearest neighbours (Å) after each atom.
Positions (direct):
Hf: 0.5000 0.1476 0.8524  6 Pt 2.78-2.89, 2 Li 3.10
Hf: 0.0000 0.3277 0.6723  8 Pt 2.77-2.84
Hf: 0.5000 0.5000 0.5000  8 Pt 2.67-2.94
Hf: 0.0000 0.6723 0.3277  8 Pt 2.77-2.84
Hf: 0.5000 0.8524 0.1476  6 Pt 2.78-2.89, 2 Li 3.10
Pt: 0.2627 0.0958 0.4545  6 Hf 2.77-2.90, 2 Pt 2.96-3.06, 1 Li 3.09
Pt: 0.7373 0.5455 0.9042  6 Hf 2.77-2.90, 2 Pt 2.96-3.06, 1 Li 3.09
Pt: 0.7181 0.2751 0.2751  6 Hf 2.67-2.94, 1 Li 2.71
Pt: 0.2819 0.7249 0.7249  6 Hf 2.67-2.94, 1 Li 2.71
Pt: 0.2627 0.4545 0.0958  6 Hf 2.77-2.90, 2 Pt 2.96-3.06, 1 Li 3.09
Pt: 0.7373 0.9042 0.5455  6 Hf 2.77-2.90, 2 Pt 2.96-3.06, 1 Li 3.09
Li: 0.0000 0.0000 0.0000  2 Pt 2.71

Magnetization in μB per cell: 0.0
E_tot in eV per atom: -8.316

=====

No. 8
## LiHf2Pt3 (PBE)

Data for LiHf2Pt3 after structural relaxation.

a = 4.6118 Å, b = 8.0007 Å, c = 8.0007 Å
α = 118.66°, β = 106.85°, γ = 106.85°
With the nearest neighbours (Å) after each atom.
Positions (direct):
Li: 0.2500 0.4280 0.5720  8 Pt 2.91-2.98, 2 Li 3.04, 2 Hf 3.25
Li: 0.7500 0.5720 0.4280  8 Pt 2.91-2.98, 2 Li 3.04, 2 Hf 3.25
Hf: 0.2500 0.0841 0.9159  8 Pt 2.75-2.85
Hf: 0.2500 0.7389 0.2611  8 Pt 2.75-2.86
Hf: 0.7500 0.9159 0.0841  8 Pt 2.75-2.85
Hf: 0.7500 0.2611 0.7389  8 Pt 2.75-2.86
Pt: 0.5234 0.8672 0.6842  5 Hf 2.75-2.85, 3 Li 2.91-2.98, 1 Pt 3.01
Pt: 0.0234 0.6842 0.8672  5 Hf 2.75-2.85, 3 Li 2.91-2.98, 1 Pt 3.01
Pt: 0.5000 0.5000 0.0000  6 Hf 2.83-2.86, 2 Li 2.97, 2 Pt 3.17
Pt: 0.4766 0.1328 0.3158  5 Hf 2.75-2.85, 3 Li 2.91-2.98, 1 Pt 3.01
Pt: 0.0000 0.0000 0.5000  6 Hf 2.83-2.86, 2 Li 2.97, 2 Pt 3.17
Pt: 0.9766 0.3158 0.1328  5 Hf 2.75-2.85, 3 Li 2.91-2.98, 1 Pt 3.01

Magnetization in μB per cell: 0.0
E_tot in eV per atom: -7.610

=====

No. 9
## LiHfScPt2 (PBE)

Data for LiHfScPt2 after structural relaxation.

a = 4.4366 Å, b = 4.2612 Å, c = 4.4366 Å
α = 90.00°, β = 90.00°, γ = 90.00°
With the nearest neighbours (Å) after each atom.
Positions (direct):
Sc: 0.0000 0.5000 0.0000  2 Li 2.13
Hf: 0.5000 0.5000 0.5000  8 Pt 3.08, 4 Sc 3.14
Pt: 0.0000 0.0000 0.5000  2 Li 2.22
Pt: 0.5000 0.0000 0.0000  2 Li 2.22
Li: 0.0000 0.0000 0.0000  2 Sc 2.13, 4 Pt 2.22

Magnetization in μB per cell: 0.0
E_tot in eV per atom: -6.242

=====

No. 10
## LiHfSn2Pt (PBE)

Data for LiHfSn2Pt after structural relaxation.

a = 4.7930 Å, b = 4.2942 Å, c = 4.7930 Å
α = 90.00°, β = 90.00°, γ = 90.00°
With the nearest neighbours (Å) after each atom.
Positions (direct):
Hf: 0.5000 0.5000 0.5000  8 Sn 3.22, 4 Pt 3.39
Sn: 0.0000 0.0000 0.5000  2 Li 2.40
Sn: 0.5000 0.0000 0.0000  2 Li 2.40
Pt: 0.0000 0.5000 0.0000  2 Li 2.15
Li: 0.0000 0.0000 0.0000  2 Pt 2.15, 4 Sn 2.40

Magnetization in μB per cell: 0.0
E_tot in eV per atom: -5.030

=====

No. 11
## LiHf2SnPt (PBE)

Data for LiHf2SnPt after structural relaxation.

a = 5.3238 Å, b = 4.9573 Å, c = 5.3238 Å
α = 90.00°, β = 90.00°, γ = 90.00°
With the nearest neighbours (Å) after each atom.
Positions (direct):
Hf: 0.0000 0.0000 0.5000  2 Sn 2.66
Hf: 0.5000 0.0000 0.0000  2 Sn 2.66
Sn: 0.0000 0.0000 0.0000  2 Pt 2.48, 4 Hf 2.66
Pt: 0.0000 0.5000 0.0000  2 Sn 2.48
Li: 0.5000 0.5000 0.5000  8 Hf 3.64, 4 Pt 3.76

Magnetization in μB per cell: 0.0
E_tot in eV per atom: -5.430

=====

No. 12
## LiHfSnPt (PBE)

Data for LiHfSnPt after structural relaxation.

a = 4.6375 Å, b = 4.6375 Å, c = 4.6375 Å
α = 60.00°, β = 60.00°, γ = 60.00°
With the nearest neighbours (Å) after each atom.
Positions (direct):
Hf: 0.0000 0.0000 0.0000  4 Pt 2.84, 4 Li 2.84
Sn: 0.5000 0.5000 0.5000  4 Li 2.84, 4 Pt 2.84
Pt: 0.7500 0.7500 0.7500  4 Sn 2.84, 4 Hf 2.84
Li: 0.2500 0.2500 0.2500  4 Hf 2.84, 4 Sn 2.84

Magnetization in μB per cell: 0.0
E_tot in eV per atom: -6.046

=====

No. 13
## LiHfSn2Pt (PBE)

Data for LiHfSn2Pt after structural relaxation.

a = 5.2270 Å, b = 5.1391 Å, c = 5.2270 Å
α = 90.00°, β = 90.00°, γ = 90.00°
With the nearest neighbours (Å) after each atom.
Positions (direct):
Hf: 0.0000 0.5000 0.0000  2 Pt 2.57
Sn: 0.0000 0.0000 0.5000  2 Pt 2.61
Sn: 0.5000 0.0000 0.0000  2 Pt 2.61
Pt: 0.0000 0.0000 0.0000  2 Hf 2.57, 4 Sn 2.61
Li: 0.5000 0.5000 0.5000  8 Sn 3.67, 4 Hf 3.70

Magnetization in μB per cell: 0.0
E_tot in eV per atom: -4.919

=====

No. 14
## SrLiHfPt2 (PBE)

Data for SrLiHfPt2 after structural relaxation.

a = 4.2578 Å, b = 4.2578 Å, c = 6.6915 Å
α = 108.55°, β = 108.55°, γ = 90.00°
With the nearest neighbours (Å) after each atom.
Positions (direct):
Sr: 0.0000 0.0000 0.0000  8 Pt 3.32, 4 Hf 3.67, 4 Li 3.67
Li: 0.7500 0.2500 0.5000  4 Pt 2.66
Hf: 0.2500 0.7500 0.5000  4 Pt 2.66
Pt: 0.6161 0.6161 0.2322  2 Li 2.66, 2 Hf 2.66, 1 Pt 2.78
Pt: 0.3839 0.3839 0.7678  2 Hf 2.66, 2 Li 2.66, 1 Pt 2.78

Magnetization in μB per cell: 0.0
E_tot in eV per atom: -5.900

=====

No. 15
## LiHf2TaPt (PBE)

Data for LiHf2TaPt after structural relaxation.

a = 4.6895 Å, b = 4.0856 Å, c = 4.6895 Å
α = 90.00°, β = 90.00°, γ = 90.00°
With the nearest neighbours (Å) after each atom.
Positions (direct):
Li: 0.0000 0.0000 0.0000  2 Pt 2.04
Hf: 0.0000 0.0000 0.5000  2 Li 2.34
Hf: 0.5000 0.0000 0.0000  2 Li 2.34
Pt: 0.0000 0.5000 0.0000  2 Li 2.04
Ta: 0.5000 0.5000 0.5000  8 Hf 3.11, 4 Pt 3.32

Magnetization in μB per cell: 0.0
E_tot in eV per atom: -7.451

=====

No. 16
## LiHf2TePt (PBE)

Data for LiHf2TePt after structural relaxation.

a = 5.2605 Å, b = 4.9812 Å, c = 5.2605 Å
α = 90.00°, β = 90.00°, γ = 90.00°
With the nearest neighbours (Å) after each atom.
Positions (direct):
Te: 0.0000 0.0000 0.0000  2 Pt 2.49, 4 Hf 2.63
Hf: 0.0000 0.0000 0.5000  2 Te 2.63
Hf: 0.5000 0.0000 0.0000  2 Te 2.63
Pt: 0.0000 0.5000 0.0000  2 Te 2.49
Li: 0.5000 0.5000 0.5000  8 Hf 3.62, 4 Pt 3.72

Magnetization in μB per cell: 0.0
Formation energy (no corrections) in kJ/mol of formula units: 368

=====

No. 17
## LiHfTiPt (PBE)

Data for LiHfTiPt after structural relaxation.

a = 4.5627 Å, b = 4.5627 Å, c = 4.5627 Å
α = 60.00°, β = 60.00°, γ = 60.00°
With the nearest neighbours (Å) after each atom.
Positions (direct):
Li: 0.0000 0.0000 0.0000  4 Hf 2.79, 4 Ti 2.79
Hf: 0.7500 0.7500 0.7500  4 Li 2.79, 4 Pt 2.79
Pt: 0.5000 0.5000 0.5000  4 Hf 2.79, 4 Ti 2.79
Ti: 0.2500 0.2500 0.2500  4 Li 2.79, 4 Pt 2.79

Magnetization in μB per cell: 0.8
E_tot in eV per atom: -6.863

=====

No. 18
## LiHf2TlPt (PBE)

Data for LiHf2TlPt after structural relaxation.

a = 4.6597 Å, b = 4.4589 Å, c = 4.6597 Å
α = 90.00°, β = 90.00°, γ = 90.00°
With the nearest neighbours (Å) after each atom.
Positions (direct):
Tl: 0.0000 0.5000 0.0000  2 Li 2.23
Hf: 0.0000 0.0000 0.5000  2 Li 2.33
Hf: 0.5000 0.0000 0.0000  2 Li 2.33
Pt: 0.5000 0.5000 0.5000  8 Hf 3.22, 4 Tl 3.29
Li: 0.0000 0.0000 0.0000  2 Tl 2.23, 4 Hf 2.33

Magnetization in μB per cell: 0.0
E_tot in eV per atom: -5.513

=====

No. 19
## LiHfTlPt (PBE)

Data for LiHfTlPt after structural relaxation.

a = 4.6378 Å, b = 4.6378 Å, c = 4.6378 Å
α = 60.00°, β = 60.00°, γ = 60.00°
With the nearest neighbours (Å) after each atom.
Positions (direct):
Tl: 0.5000 0.5000 0.5000  4 Li 2.84, 4 Pt 2.84
Hf: 0.0000 0.0000 0.0000  4 Pt 2.84, 4 Li 2.84
Pt: 0.2500 0.2500 0.2500  4 Hf 2.84, 4 Tl 2.84
Li: 0.7500 0.7500 0.7500  4 Hf 2.84, 4 Tl 2.84

Magnetization in μB per cell: 0.0
E_tot in eV per atom: -5.584

=====

No. 20
## LiTmHf2Pt4 (PBE)

Data for LiTmHf2Pt4 after structural relaxation.

a = 4.5440 Å, b = 4.5440 Å, c = 8.5389 Å
α = 74.57°, β = 74.57°, γ = 60.00°
With the nearest neighbours (Å) after each atom.
Positions (direct):
Li: 0.5000 0.5000 0.5000  8 Pt 2.63-2.79
Tm: 0.0000 0.0000 0.0000  8 Pt 2.99-3.10
Hf: 0.7590 0.7590 0.7231  7 Pt 2.75-2.78
Hf: 0.2410 0.2410 0.2769  7 Pt 2.75-2.78
Pt: 0.3921 0.3921 0.8237  1 Li 2.63, 3 Hf 2.75
Pt: 0.8728 0.8728 0.3815  4 Hf 2.76-2.78, 3 Li 2.79
Pt: 0.1272 0.1272 0.6185  4 Hf 2.76-2.78, 3 Li 2.79
Pt: 0.6079 0.6079 0.1763  1 Li 2.63, 3 Hf 2.75

Magnetization in μB per cell: 0.0
E_tot in eV per atom: -7.349